Record 1
First-principles (GGA-PBE) data for Tb4Y2Pb3O2 after structural relaxation, as listed in Alexandria via LeMat-Bulk.

Cell lengths 4.6922, 4.6922, 13.1094 Å; angles 100.31, 100.31, 90.00 degrees
Fractional coordinates of all 11 atoms:
Tb  0.4160  0.9160  0.8321
Tb  0.9160  0.4160  0.8321
Tb  0.0840  0.5840  0.1679
Tb  0.5840  0.0840  0.1679
Y  0.3069  0.3069  0.6137
Y  0.6931  0.6931  0.3863
Pb  0.0000  0.0000  0.0000
Pb  0.1803  0.1803  0.3605
Pb  0.8197  0.8197  0.6395
O  0.4002  0.4002  0.8003
O  0.5998  0.5998  0.1997

Values from the calculation:
The symmetry is I4/mmm. As for the formation energy without anion corrections: -1.398 eV per atom. The crystal system is tetragonal. As for the total magnetization: 0.0 μB per formula unit.

Record 2
First-principles (GGA-PBE) data for TcPbO3 after structural relaxation, as listed in Alexandria via LeMat-Bulk.

Cell lengths 5.7960, 7.4008, 7.4008 Å; angles 116.19, 90.00, 90.00 degrees
Fractional coordinates of all 20 atoms:
Tc  0.2500  0.3619  0.1381
Tc  0.7500  0.6381  0.8619
Tc  0.7500  0.1381  0.3619
Tc  0.2500  0.8619  0.6381
Pb  0.7500  0.6235  0.3765
Pb  0.2500  0.3765  0.6235
Pb  0.2500  0.8765  0.1235
Pb  0.7500  0.1235  0.8765
O  0.9994  0.2505  0.2497
O  0.0006  0.7495  0.7503
O  0.4994  0.2495  0.2503
O  0.5006  0.7505  0.7497
O  0.2501  0.6148  0.3852
O  0.7499  0.3852  0.6148
O  0.7501  0.8852  0.1148
O  0.2499  0.1148  0.8852
O  0.7501  0.9899  0.5102
O  0.2499  0.0101  0.4898
O  0.2501  0.5101  0.9898
O  0.7499  0.4899  0.0102

Values from the calculation:
The symmetry is Cmce. As for the formation energy without anion corrections: -1.034 eV per atom. The crystal system is orthorhombic. As for the total magnetization: 0.0 μB per formula unit.

Record 3
First-principles (GGA-PBE) data for TcPbO6 after structural relaxation, as listed in Alexandria via LeMat-Bulk.

Cell lengths 5.6923, 5.6923, 5.6923 Å; angles 60.00, 60.00, 60.00 degrees
Last column: magnetic moment on the atom in μB.
Fractional coordinates of all 8 atoms:
Tc  0.0000  0.0000  0.0000  -0.13
Pb  0.5000  0.5000  0.5000  -0.02
O  0.7678  0.7678  0.2322  0.16
O  0.7678  0.2322  0.2322  0.16
O  0.2322  0.7678  0.7678  0.16
O  0.2322  0.2322  0.7678  0.16
O  0.2322  0.7678  0.2322  0.16
O  0.7678  0.2322  0.7678  0.16

Values from the calculation:
The symmetry is Fm-3m. As for the formation energy without anion corrections: -0.626 eV per atom. The crystal system is cubic. As for the total magnetization: 1.0 μB per formula unit.

Number 1: calculated volume 25.384 Å³/atom. Number 2: calculated volume 14.243 Å³/atom. Number 3: calculated volume 16.302 Å³/atom.